Entry from Alexandria via LeMat-Bulk: crystalline CaZnSiH2O5 at its relaxed geometry (PBE).

Cell: 8.4592 8.4592 5.4651 Å, 93.95 93.95 144.45°
Element x y z (fractional)
Ca 0.0718 0.9282 0.5000
Ca 0.9282 0.0718 0.0000
Zn 0.4064 0.9074 0.8612
Zn 0.9074 0.4064 0.3612
Si 0.5273 0.8027 0.3804
Si 0.8027 0.5273 0.8804
H 0.2188 0.3830 0.5773
H 0.3830 0.2188 0.0773
H 0.4596 0.4830 0.7520
H 0.4830 0.4596 0.2520
O 0.1936 0.4801 0.3141
O 0.2514 0.3334 0.7125
O 0.3334 0.2514 0.2125
O 0.4801 0.1936 0.8141
O 0.5853 0.9988 0.2091
O 0.6225 0.9395 0.6793
O 0.7093 0.7998 0.3060
O 0.7998 0.7093 0.8060
O 0.9395 0.6225 0.1793
O 0.9988 0.5853 0.7091

Calculated values
Symmetry = Cc (9)
DOS at the Fermi energy = 0.000 states/eV/atom
Total DFT energy (no corrections) = -6.141 eV per atom



Entry from Alexandria via LeMat-Bulk: crystalline Sr2CaH8O6 at its relaxed geometry (PBE).

Cell: 3.8707 7.4139 8.7603 Å, 96.47 95.44 100.90°
Element x y z (fractional)
Sr 0.0000 0.0000 0.0000
Sr 0.0594 0.3862 0.5329
Ca 0.4878 0.7256 0.2822
H 0.1461 0.0411 0.6597
H 0.3436 0.3448 0.1762
H 0.3738 0.6761 0.9553
H 0.3977 0.0773 0.4654
H 0.5908 0.3241 0.9724
H 0.7297 0.7159 0.5844
H 0.7377 0.0485 0.6569
H 0.9299 0.3522 0.1646
O 0.1673 0.4035 0.2348
O 0.4341 0.7898 0.0304
O 0.4760 0.1617 0.5645
O 0.5876 0.2454 0.0561
O 0.6311 0.6062 0.5081
O 0.9305 0.9925 0.7107

Calculated values
Symmetry = P1 (1)
DOS at the Fermi energy = 0.124 states/eV/atom
Total DFT energy (no corrections) = -5.067 eV per atom



Entry from Alexandria via LeMat-Bulk: crystalline SrCaH2O at its relaxed geometry (PBE).

Cell: 4.1248 4.1248 4.5433 Å, 90.00 90.00 90.00°
Element x y z (fractional)
Sr 0.0000 0.0000 0.0000
Ca 0.5000 0.5000 0.5000
H 0.0000 0.5000 0.5000
H 0.5000 0.0000 0.5000
O 0.5000 0.5000 0.0000

Calculated values
Symmetry = P4/mmm (123)
Total DFT energy (no corrections) = -4.328 eV per atom



Entry from Alexandria via LeMat-Bulk: crystalline CaTeHO2 at its relaxed geometry (PBE).

Cell: 4.4315 4.4315 3.4148 Å, 90.00 90.00 90.00°
Element x y z (fractional)
Ca 0.0000 0.0000 0.0000
Te 0.5000 0.5000 0.0000
H 0.5000 0.5000 0.5000
O 0.0000 0.5000 0.5000
O 0.5000 0.0000 0.5000

Calculated values
Symmetry = P4/mmm (123)
DOS at the Fermi energy = 0.383 states/eV/atom
Total DFT energy (no corrections) = -4.098 eV per atom



Entry from Alexandria via LeMat-Bulk: crystalline CaTi2H2O6 at its relaxed geometry (PBE).

Cell: 4.9702 12.2007 16.0867 Å, 90.00 98.91 90.00°
Element x y z (fractional)
Ca 0.2103 0.1892 0.1244
Ca 0.2103 0.3108 0.6244
Ca 0.2193 0.0504 0.7415
Ca 0.2193 0.4496 0.2415
Ca 0.7807 0.5504 0.7585
Ca 0.7807 0.9496 0.2585
Ca 0.7897 0.6892 0.3756
Ca 0.7897 0.8108 0.8756
Ti 0.0331 0.1128 0.4502
Ti 0.0331 0.3872 0.9502
Ti 0.2142 0.0121 0.9383
Ti 0.2142 0.4879 0.4383
Ti 0.3706 0.6965 0.5429
Ti 0.3706 0.8035 0.0429
Ti 0.4017 0.5897 0.9279
Ti 0.4017 0.9103 0.4279
Ti 0.5983 0.0897 0.5721
Ti 0.5983 0.4103 0.0721
Ti 0.6294 0.1965 0.9571
Ti 0.6294 0.3035 0.4571
Ti 0.7858 0.5121 0.5617
Ti 0.7858 0.9879 0.0617
Ti 0.9669 0.6128 0.0498
Ti 0.9669 0.8872 0.5498
H 0.0530 0.7448 0.7062
H 0.0530 0.7552 0.2062
H 0.2249 0.6991 0.7904
H 0.2249 0.8009 0.2904
H 0.3322 0.0789 0.2956
H 0.3322 0.4211 0.7956
H 0.4102 0.6556 0.1954
H 0.4102 0.8444 0.6954
H 0.5898 0.1556 0.3046
H 0.5898 0.3444 0.8046
H 0.6678 0.5789 0.2044
H 0.6678 0.9211 0.7044
H 0.7751 0.1991 0.7096
H 0.7751 0.3009 0.2096
H 0.9470 0.2448 0.7938
H 0.9470 0.2552 0.2938
O 0.0277 0.5362 0.3434
O 0.0277 0.9638 0.8434
O 0.0323 0.7186 0.7638
O 0.0323 0.7814 0.2638
O 0.0555 0.6012 0.5137
O 0.0555 0.8988 0.0137
O 0.1239 0.6884 0.9529
O 0.1239 0.8116 0.4529
O 0.1520 0.0188 0.3667
O 0.1520 0.4812 0.8667
O 0.1814 0.7112 0.1187
O 0.1814 0.7888 0.6187
O 0.2659 0.5034 0.0346
O 0.2659 0.9966 0.5346
O 0.3663 0.1918 0.4830
O 0.3663 0.3082 0.9830
O 0.4097 0.1198 0.8759
O 0.4097 0.3802 0.3759
O 0.4732 0.1078 0.2627
O 0.4732 0.3922 0.7627
O 0.4862 0.1533 0.6615
O 0.4862 0.3467 0.1615
O 0.4960 0.0979 0.0413
O 0.4960 0.4021 0.5413
O 0.5040 0.5979 0.4587
O 0.5040 0.9021 0.9587
O 0.5138 0.6533 0.8385
O 0.5138 0.8467 0.3385
O 0.5268 0.6078 0.2373
O 0.5268 0.8922 0.7373
O 0.5903 0.6198 0.6241
O 0.5903 0.8802 0.1241
O 0.6337 0.6918 0.0170
O 0.6337 0.8082 0.5170
O 0.7341 0.0034 0.4654
O 0.7341 0.4966 0.9654
O 0.8186 0.2112 0.3813
O 0.8186 0.2888 0.8813
O 0.8480 0.5188 0.1333
O 0.8480 0.9812 0.6333
O 0.8761 0.1884 0.5471
O 0.8761 0.3116 0.0471
O 0.9445 0.1012 0.9863
O 0.9445 0.3988 0.4863
O 0.9677 0.2186 0.7362
O 0.9677 0.2814 0.2362
O 0.9723 0.0362 0.1566
O 0.9723 0.4638 0.6566

Calculated values
Symmetry = P2_1/c (14)
DOS at the Fermi energy = 0.000 states/eV/atom
Total DFT energy (no corrections) = -7.491 eV per atom



Entry from Alexandria via LeMat-Bulk: crystalline CaTiH2O at its relaxed geometry (PBE).

Cell: 3.7034 3.7034 3.9687 Å, 90.00 90.00 90.00°
Element x y z (fractional)
Ca 0.0000 0.0000 0.0000
Ti 0.5000 0.5000 0.5000
H 0.0000 0.5000 0.5000
H 0.5000 0.0000 0.5000
O 0.5000 0.5000 0.0000

Calculated values
Symmetry = P4/mmm (123)
DOS at the Fermi energy = 0.533 states/eV/atom
Total DFT energy (no corrections) = -5.593 eV per atom



Entry from Alexandria via LeMat-Bulk: crystalline CaTiHO2 at its relaxed geometry (PBE).

Cell: 3.9518 3.9518 3.5848 Å, 90.00 90.00 90.00°
Element x y z (fractional)
Ca 0.0000 0.0000 0.0000
Ti 0.5000 0.5000 0.5000
H 0.5000 0.5000 0.0000
O 0.0000 0.5000 0.5000
O 0.5000 0.0000 0.5000

Calculated values
Symmetry = P4/mmm (123)
DOS at the Fermi energy = 0.406 states/eV/atom
Total DFT energy (no corrections) = -6.839 eV per atom



The calculation returns the following total magnetization values, one per record and in order: 0.0, 0.6, 0.0, 0.0, 0.0, 0.4, 0.3 Bohr magnetons per cell.